Version 1
## TlIn3Bi2 (GGA-PBE)

Data for a geometry-optimized TlIn3Bi2 structure.

```
12
Lattice="-3.814 3.526 0.483 -3.857 -3.525 -4.729 -4.049 -5.384 7.315" Properties=species:S:1:pos:R:3 pbc="T T T"
Bi -4.338 -4.509 -1.345
Bi -3.838 -4.646 3.601
Bi -8.070 -5.276 2.952
Bi -3.420 0.104 0.400
In -3.740 -3.434 -4.469
In -2.613 -2.958 0.958
In -5.784 -6.953 5.072
In -5.146 -1.463 -1.786
In -5.846 -6.455 0.950
In -5.985 -3.381 5.578
Tl -6.051 -2.881 1.411
Tl -4.049 -1.022 3.645
```

Output
Crystal system ... orthorhombic
N(E_F) ... 0.411 states/eV/atom

---

Version 2
## TlIn3Bi2 (GGA-PBE)

Data for a geometry-optimized TlIn3Bi2 structure.

```
6
Lattice="-2.507 2.166 -1.067 -0.310 -1.814 -2.954 -10.240 -8.694 6.413" Properties=species:S:1:pos:R:3 pbc="T T T"
In -6.817 -5.787 4.269
In -3.423 -2.906 2.144
In 0.000 0.000 0.000
Bi -3.163 -1.313 -0.912
Bi -9.894 -7.028 3.304
Tl -6.528 -4.171 1.196
```

Output
Crystal system ... tetragonal
N(E_F) ... 0.585 states/eV/atom

---

Relative to the most stable structure, the computed energies are version 1 0; version 2 32, all in meV per atom.

---

Version 1
## Tl2In3Bi (GGA-PBE)

Data for a geometry-optimized Tl2In3Bi structure.

```
12
Lattice="-3.798 2.063 4.889 5.577 -3.130 1.298 4.806 8.608 0.102" Properties=species:S:1:pos:R:3 pbc="T T T"
In 4.133 6.188 4.955
In 5.103 -0.133 1.951
In 1.483 7.675 4.338
In 3.287 6.694 2.015
In 2.453 1.354 1.334
In 3.298 0.847 4.274
Tl 5.187 3.499 2.553
Tl 2.403 4.304 0.051
Tl 1.399 4.042 3.736
Tl 0.000 0.000 0.000
Bi 6.885 6.540 2.589
Bi -0.299 1.001 3.700
```

Output
Crystal system ... trigonal
N(E_F) ... 0.583 states/eV/atom

---

Version 2
## Tl2In3Bi (GGA-PBE)

Data for a geometry-optimized Tl2In3Bi structure.

```
12
Lattice="7.054 0.000 0.000 -3.527 6.109 0.000 0.000 0.000 8.276" Properties=species:S:1:pos:R:3 pbc="T T T"
In 3.527 4.106 2.774
In 1.792 5.107 5.502
In 0.000 2.004 5.502
In -1.792 5.107 5.502
In 1.735 1.002 2.774
In 5.319 1.002 2.774
Tl 0.000 0.000 0.000
Tl 1.764 3.055 0.000
Tl -1.764 3.055 0.000
Tl 3.527 0.000 0.000
Bi 3.527 2.036 5.373
Bi 0.000 4.073 2.903
```

Output
Crystal system ... trigonal
N(E_F) ... 0.499 states/eV/atom

---

Relative to the most stable structure, the computed energies are version 1 77; version 2 0, all in meV per atom.

---

Version 1
## TlIn2Bi (GGA-PBE)

Data for a geometry-optimized TlIn2Bi structure.

```
4
Lattice="-3.649 -2.412 1.697 -1.076 -1.640 -4.645 2.981 -4.002 0.723" Properties=species:S:1:pos:R:3 pbc="T T T"
Tl -1.825 -1.206 0.848
In 1.490 -2.001 0.361
In -0.538 -0.820 -2.322
Bi -0.872 -4.027 -1.112
```

Output
Crystal system ... tetragonal
N(E_F) ... 0.437 states/eV/atom

---

Version 2
## TlIn2Bi (GGA-PBE)

Data for a geometry-optimized TlIn2Bi structure.

```
8
Lattice="-2.661 1.870 -3.146 -3.564 -0.345 6.063 2.828 7.543 2.091" Properties=species:S:1:pos:R:3 pbc="T T T"
Tl 1.621 5.717 2.027
Tl -5.018 3.351 2.981
Bi -1.552 2.158 2.595
Bi -1.845 6.910 2.413
In -2.339 1.426 -0.428
In -1.057 7.642 5.436
In -1.190 4.491 0.422
In -2.207 4.577 4.586
```

Output
Crystal system ... orthorhombic
N(E_F) ... 0.426 states/eV/atom

---

Relative to the most stable structure, the computed energies are version 1 0; version 2 13, all in meV per atom.

---

Version 1
## TlIn2Bi (GGA-PBE)

Data for a geometry-optimized TlIn2Bi structure.

```
4
Lattice="0.112 -5.508 -0.465 -4.057 -3.043 2.201 -3.623 -2.570 -3.290" Properties=species:S:1:pos:R:3 pbc="T T T"
In -5.677 -8.340 -1.166
In -1.892 -2.780 -0.389
Bi -3.784 -5.560 -0.777
Tl 0.000 0.000 0.000
```

Output
Crystal system ... cubic
N(E_F) ... 0.495 states/eV/atom

---

Version 2
## TlIn2Bi (GGA-PBE)

Data for a geometry-optimized TlIn2Bi structure.

```
4
Lattice="-0.716 0.694 3.640 -3.063 -2.197 -0.183 4.648 -6.660 2.184" Properties=species:S:1:pos:R:3 pbc="T T T"
Tl 0.435 -4.082 2.820
In 3.534 -5.064 1.661
In 1.113 -1.596 0.523
Bi -1.889 -0.752 1.728
```

Output
Crystal system ... tetragonal
N(E_F) ... 0.400 states/eV/atom

---

Version 3
## TlIn2Bi (GGA-PBE)

Data for a geometry-optimized TlIn2Bi structure.

```
4
Lattice="-5.437 -0.068 -4.689 6.669 -1.614 2.113 1.524 -4.212 5.611" Properties=species:S:1:pos:R:3 pbc="T T T"
Tl 0.000 0.000 0.000
In 6.106 -4.342 5.756
In 2.087 -1.484 1.968
Bi 4.097 -2.913 3.862
```

Output
Crystal system ... orthorhombic
N(E_F) ... 0.461 states/eV/atom

---

Relative to the most stable structure, the computed energies are version 1 0; version 2 12; version 3 50, all in meV per atom.

---

Version 1
## TlIn2Bi (GGA-PBE)

Data for a geometry-optimized TlIn2Bi structure.

```
8
Lattice="-2.034 -4.906 0.185 4.716 0.837 -2.303 4.690 -1.605 9.021" Properties=species:S:1:pos:R:3 pbc="T T T"
Tl 1.389 -3.393 1.611
Tl 5.984 -2.281 5.292
Bi 0.000 0.000 0.000
Bi 2.345 -0.802 4.511
In 3.028 -3.954 4.764
In 4.344 -1.720 2.138
In 2.933 -1.238 -0.575
In 4.439 -4.437 7.478
```

Output
Crystal system ... hexagonal
N(E_F) ... 0.489 states/eV/atom

---

Version 2
## TlIn2Bi (GGA-PBE)

Data for a geometry-optimized TlIn2Bi structure.

```
8
Lattice="7.278 0.000 0.000 0.000 7.278 0.000 3.639 3.639 6.083" Properties=species:S:1:pos:R:3 pbc="T T T"
In 9.098 9.119 4.562
In 1.798 5.459 1.521
In 5.480 1.820 1.521
In 5.459 5.438 4.562
Tl 3.639 7.278 3.041
Tl 3.639 3.639 0.000
Bi 7.278 3.639 3.041
Bi 0.000 0.000 0.000
```

Output
Crystal system ... tetragonal
N(E_F) ... 0.479 states/eV/atom

---

Relative to the most stable structure, the computed energies are version 1 0; version 2 165, all in meV per atom.

---

Version 1
## TlIn2Bi (GGA-PBE)

Data for a geometry-optimized TlIn2Bi structure.

```
4
Lattice="5.772 -2.821 -3.237 -2.527 5.907 3.237 -3.503 0.436 6.268" Properties=species:S:1:pos:R:3 pbc="T T T"
In -1.569 1.650 2.473
In -4.461 4.692 7.033
Tl 0.000 0.000 0.000
Bi -3.015 3.171 4.753
```

Output
Crystal system ... tetragonal
N(E_F) ... 0.330 states/eV/atom

---

Version 2
## TlIn2Bi (GGA-PBE)

Data for a geometry-optimized TlIn2Bi structure.

```
4
Lattice="4.619 0.000 0.000 2.310 4.000 0.000 2.310 1.333 7.296" Properties=species:S:1:pos:R:3 pbc="T T T"
Tl 6.929 4.000 7.231
In 2.310 1.333 1.939
In 2.310 1.333 5.380
Bi 4.619 2.667 3.688
```

Output
Crystal system ... trigonal
N(E_F) ... 0.619 states/eV/atom

---

Relative to the most stable structure, the computed energies are version 1 36; version 2 0, all in meV per atom.

---

Version 1
## TlIn5Bi2 (GGA-PBE)

Data for a geometry-optimized TlIn5Bi2 structure.

```
16
Lattice="4.853 0.000 0.000 0.000 6.963 0.000 0.000 0.000 13.920" Properties=species:S:1:pos:R:3 pbc="T T T"
Bi 2.427 1.783 8.764
Bi 2.427 5.265 12.115
Bi 2.427 5.180 5.155
Bi 2.427 1.698 1.804
In 2.427 1.752 12.179
In 0.000 0.051 10.465
In 0.000 3.533 10.414
In 2.427 1.730 5.220
In 0.000 3.481 6.960
In 0.000 3.430 3.505
In 0.000 6.911 3.454
In 0.000 0.000 0.000
In 2.427 5.211 1.740
In 2.427 5.233 8.700
Tl 0.000 0.000 6.960
Tl 0.000 3.481 0.000
```

Output
Crystal system ... orthorhombic
N(E_F) ... 0.427 states/eV/atom

---

Version 2
## TlIn5Bi2 (GGA-PBE)

Data for a geometry-optimized TlIn5Bi2 structure.

```
8
Lattice="-0.131 -2.123 -3.894 7.610 -0.970 -2.255 1.738 -7.643 1.581" Properties=species:S:1:pos:R:3 pbc="T T T"
In 4.824 -7.507 -1.125
In 4.674 -4.307 -0.337
In 7.011 -5.022 -2.554
In 2.205 -5.714 -2.015
In 4.392 -3.229 -3.443
Bi 2.008 -2.481 -1.243
Bi 7.209 -8.255 -3.326
Tl 0.000 0.000 0.000
```

Output
Crystal system ... orthorhombic
N(E_F) ... 0.439 states/eV/atom

---

Relative to the most stable structure, the computed energies are version 1 0; version 2 53, all in meV per atom.

---

Version 1
## TlIn12Bi6 (GGA-PBE)

Data for a geometry-optimized TlIn12Bi6 structure.

```
19
Lattice="-6.939 -5.562 2.676 8.092 -4.483 0.812 0.108 7.633 5.289" Properties=species:S:1:pos:R:3 pbc="T T T"
Bi 3.438 0.366 5.141
Bi 3.363 -2.380 2.949
Bi 0.421 2.085 4.599
Bi 0.841 -4.496 4.178
Bi -2.102 -0.032 5.827
Bi -2.176 -2.778 3.636
Tl 0.000 0.000 0.000
In 3.269 3.733 5.366
In 0.898 0.393 7.474
In -2.358 3.329 6.064
In 6.257 -0.802 3.691
In -4.996 -1.610 5.086
In 0.363 -2.805 1.303
In -1.788 0.458 2.508
In 2.261 0.748 2.006
In 3.049 -2.870 6.268
In -1.000 -3.160 6.770
In -2.007 -6.145 3.410
In 3.619 -5.741 2.712
```

Output
Crystal system ... trigonal
N(E_F) ... 0.506 states/eV/atom

---

Version 2
## TlIn12Bi6 (GGA-PBE)

Data for a geometry-optimized TlIn12Bi6 structure.

```
19
Lattice="-6.567 -5.143 -1.149 4.386 -6.678 2.660 -2.608 1.073 7.934" Properties=species:S:1:pos:R:3 pbc="T T T"
Bi -3.247 -9.167 3.791
Bi -4.314 -4.000 1.496
Bi -5.737 -5.313 6.914
Bi -0.476 -6.748 7.948
Bi -1.543 -1.581 5.653
Bi 0.947 -5.435 2.530
In -3.132 -7.849 9.258
In -4.117 -3.190 4.616
In -2.873 -10.152 6.769
In -1.917 -0.596 2.675
In -2.650 -4.468 7.342
In 0.097 -4.354 5.428
In -0.673 -7.558 4.828
In -4.887 -6.394 4.016
In -2.140 -6.280 2.103
In -5.786 -8.456 7.221
In 0.996 -2.292 2.223
In -1.658 -2.899 0.186
Tl 0.000 0.000 0.000
```

Output
Crystal system ... trigonal
N(E_F) ... 0.491 states/eV/atom

---

Relative to the most stable structure, the computed energies are version 1 11; version 2 0, all in meV per atom.

---

Version 1
## TlIn6Bi2 (GGA-PBE)

Data for a geometry-optimized TlIn6Bi2 structure.

```
18
Lattice="5.023 0.000 0.000 0.000 10.254 0.000 0.001 0.000 10.256" Properties=species:S:1:pos:R:3 pbc="T T T"
In 0.001 6.779 8.606
In 2.512 1.680 10.198
In 2.512 8.602 3.477
In 0.001 10.198 8.577
In 5.023 3.475 1.650
In 5.023 0.056 1.679
In 2.512 8.575 0.058
In 2.512 5.183 3.448
In 0.001 6.807 5.186
In 2.512 1.652 6.779
In 5.024 3.448 5.070
In 2.512 5.071 6.808
Tl 2.512 5.127 0.000
Tl 0.000 0.000 5.128
Bi 2.512 8.455 6.930
Bi 5.024 3.327 8.454
Bi 2.512 1.800 3.326
Bi 0.000 6.927 1.802
```

Output
Crystal system ... tetragonal
N(E_F) ... 0.503 states/eV/atom

---

Version 2
## TlIn6Bi2 (GGA-PBE)

Data for a geometry-optimized TlIn6Bi2 structure.

```
9
Lattice="5.031 0.000 0.000 0.000 5.031 0.000 0.000 0.000 11.347" Properties=species:S:1:pos:R:3 pbc="T T T"
In 2.515 0.000 3.546
In 0.000 0.000 5.674
In 2.515 0.000 7.802
In 0.000 2.515 7.802
In 0.000 2.515 3.546
In 2.515 2.515 5.674
Bi 2.515 2.515 1.580
Bi 2.515 2.515 9.768
Tl 0.000 0.000 0.000
```

Output
Crystal system ... tetragonal
N(E_F) ... 0.681 states/eV/atom

---

Relative to the most stable structure, the computed energies are version 1 0; version 2 34, all in meV per atom.

---

Version 1
## Tl2In2Bi (GGA-PBE)

Data for a geometry-optimized Tl2In2Bi structure.

```
10
Lattice="-6.038 7.123 -0.189 -2.205 -2.103 -8.829 -2.517 -2.104 1.130" Properties=species:S:1:pos:R:3 pbc="T T T"
In -7.111 4.235 -2.629
In -7.082 1.848 -7.008
In -3.679 1.068 -0.879
In -3.649 -1.319 -5.258
Tl -6.592 4.749 -5.841
Tl -1.652 0.270 -3.176
Tl -4.043 0.739 -7.631
Tl -4.200 4.280 -1.386
Bi 0.000 0.000 0.000
Bi -4.122 2.510 -4.509
```

Output
Crystal system ... tetragonal
N(E_F) ... 0.510 states/eV/atom

---

Version 2
## Tl2In2Bi (GGA-PBE)

Data for a geometry-optimized Tl2In2Bi structure.

```
5
Lattice="-0.213 -2.638 3.581 0.147 -3.588 -2.634 7.976 -3.127 0.940" Properties=species:S:1:pos:R:3 pbc="T T T"
Bi 0.000 0.000 0.000
Tl 4.045 -4.914 -0.611
Tl 3.865 -4.439 2.497
In 1.445 -3.116 0.560
In 6.465 -6.238 1.327
```

Output
Crystal system ... tetragonal
N(E_F) ... 0.511 states/eV/atom

---

Relative to the most stable structure, the computed energies are version 1 0; version 2 36, all in meV per atom.